Record 1
A relaxed structure of KUTl2Cl6. Source: Alexandria via LeMat-Bulk, functional GGA-PBE.

```
KUTl2Cl6
1.0
6.7427 -3.9758 0.0000
6.7427 3.9758 0.0000
-4.4505 0.0000 6.5828
K U Tl Cl
1 1 2 6
Cartesian
0.0000 0.0000 0.0000 K
4.5174 0.0000 3.2914 U
0.1995 0.0000 4.6911 Tl
8.8354 0.0000 1.8918 Tl
2.8119 1.9194 4.3092 Cl
3.0543 0.0000 0.9664 Cl
6.2230 1.9194 2.2736 Cl
2.8119 -1.9194 4.3092 Cl
5.9806 0.0000 5.6164 Cl
6.2230 -1.9194 2.2736 Cl
```

Calculated values
The calculation puts the uncorrected formation energy at -1.485 eV per atom. For the volume, the calculation gives 352.9 Å³/cell. Its symmetry is C2/m, No. 12. The value obtained for the spin magnetization is 3.0 μB/cell. For the final energy, the calculation gives -4.305 eV per atom.

---

Record 2
A relaxed structure of K2TlVCl6. Source: Alexandria via LeMat-Bulk, functional GGA-PBE.

```
K2TlVCl6
1.0
7.3898 0.0000 0.0000
3.3516 6.5893 0.0000
3.3558 2.0580 6.2681
K Tl V Cl
2 1 1 6
Cartesian
3.2155 1.9749 1.4284 K
10.8817 6.6723 4.8397 K
7.0486 4.3236 3.1341 Tl
0.0000 0.0000 0.0000 V
4.6047 5.9563 1.9552 Cl
6.7045 6.3535 5.5376 Cl
5.4051 2.4286 5.0631 Cl
8.6921 6.2186 1.2050 Cl
7.3927 2.2937 0.7305 Cl
9.4926 2.6910 4.3129 Cl
```

Calculated values
The calculation puts the uncorrected formation energy at -1.482 eV per atom. For the volume, the calculation gives 305.2 Å³/cell. Its symmetry is P-1, No. 2. The value obtained for the spin magnetization is 2.0 μB/cell. For the final energy, the calculation gives -3.958 eV per atom.

---

Record 3
A relaxed structure of KTlVCl6. Source: Alexandria via LeMat-Bulk, functional GGA-PBE.

```
KTlVCl6
1.0
7.3483 0.0000 0.0000
-3.6741 6.3638 0.0000
0.0000 0.0000 6.2542
K Tl V Cl
1 1 1 6
Cartesian
0.0000 0.0000 0.0000 K
3.6741 2.1213 3.1271 Tl
0.0000 4.2425 0.0000 V
-0.9604 2.6066 1.3606 Cl
-1.8970 4.2288 4.8936 Cl
0.9604 2.6066 4.8936 Cl
-0.9366 5.8922 1.3606 Cl
1.8970 4.2288 1.3606 Cl
0.9366 5.8922 4.8936 Cl
```

Calculated values
The calculation puts the uncorrected formation energy at -1.272 eV per atom. For the volume, the calculation gives 292.5 Å³/cell. Its symmetry is P312, No. 149. The value obtained for the spin magnetization is 1.0 μB/cell. For the final energy, the calculation gives -3.901 eV per atom.

---

Record 4
A relaxed structure of KTl2VCl8. Source: Alexandria via LeMat-Bulk, functional GGA-PBE.

```
KTl2VCl8
1.0
6.1478 0.0000 0.0000
-2.7649 7.0073 0.0000
-0.0060 -0.0170 8.9128
K Tl V Cl
1 2 1 8
Cartesian
0.0000 0.0000 0.0000 K
-1.3619 3.5075 2.1984 Tl
4.7389 3.4828 6.7144 Tl
-0.0030 -0.0085 4.4564 V
-0.8711 5.7465 4.4716 Cl
0.8741 1.3757 6.0888 Cl
0.8951 1.3679 2.8314 Cl
-0.3242 5.0361 8.9013 Cl
3.7012 1.9542 0.0115 Cl
2.4818 5.6224 6.0814 Cl
2.5029 5.6146 2.8240 Cl
4.2480 1.2438 4.4412 Cl
```

Calculated values
The calculation puts the uncorrected formation energy at -1.140 eV per atom. For the volume, the calculation gives 384.0 Å³/cell. Its symmetry is P-1, No. 2. The value obtained for the spin magnetization is 0.1 μB/cell. For the final energy, the calculation gives -3.617 eV per atom.